Entry 1:
# Li2CdO

A relaxed structure of Li2CdO (PBE-GGA, Alexandria).

Geometry as POSCAR:
```
Li2CdO
1.0
0.0000 3.0411 3.0411
3.0411 0.0000 3.0411
3.0411 3.0411 0.0000
Li Cd O
2 1 1
direct
0.2500 0.2500 0.2500 Li
0.7500 0.7500 0.7500 Li
0.0000 0.0000 0.0000 Cd
0.5000 0.5000 0.5000 O
```

Summary:
Distance to the lowest polymorph of the same formula   620.6 meV/atom
Size of the total moment   0.0 Bohr magnetons per cell
Formation energy from raw total energies   -0.462 eV/atom
Space group   Fm-3m, No. 225

=====

Entry 2:
# NdDy3Os

A relaxed structure of NdDy3Os (PBE-GGA, Alexandria).

Geometry as POSCAR:
```
NdDy3Os
1.0
7.2084 0.0000 0.0000
0.0000 7.8828 0.0000
-1.4870 0.0000 10.3292
Nd Dy Os
4 12 4
direct
0.2093 0.0224 0.2387 Nd
0.2093 0.4776 0.7387 Nd
0.7907 0.5224 0.2613 Nd
0.7907 0.9776 0.7613 Nd
0.0948 0.6954 0.0277 Dy
0.0948 0.8046 0.5277 Dy
0.3060 0.0002 0.8526 Dy
0.3060 0.4998 0.3526 Dy
0.3995 0.1503 0.5721 Dy
0.3995 0.3497 0.0721 Dy
0.6005 0.6503 0.9279 Dy
0.6005 0.8497 0.4279 Dy
0.6940 0.9998 0.1474 Dy
0.6940 0.5002 0.6474 Dy
0.9052 0.1954 0.4723 Dy
0.9052 0.3046 0.9723 Dy
0.4550 0.7128 0.1650 Os
0.4550 0.7872 0.6650 Os
0.5450 0.2128 0.3350 Os
0.5450 0.2872 0.8350 Os
```

Summary:
ΔH_f (0 K)   -0.09 eV/atom
Distance to the lowest polymorph of the same formula   0.0 meV/atom
Size of the total moment   0.0 Bohr magnetons per cell
Space group   P2_1/c, No. 14

=====

Entry 3:
# CsZr2Sn2

A relaxed structure of CsZr2Sn2 (PBE-GGA, Alexandria).

Geometry as POSCAR:
```
CsZr2Sn2
1.0
9.2180 0.0000 0.0000
0.0000 9.2180 0.0000
0.0000 0.0000 3.2347
Cs Zr Sn
2 4 4
direct
0.0000 0.0000 0.0000 Cs
0.5000 0.5000 0.0000 Cs
0.1239 0.3761 0.0000 Zr
0.3761 0.8761 0.0000 Zr
0.6239 0.1239 0.0000 Zr
0.8761 0.6239 0.0000 Zr
0.1628 0.6628 0.5000 Sn
0.3372 0.1628 0.5000 Sn
0.6628 0.8372 0.5000 Sn
0.8372 0.3372 0.5000 Sn
```

Summary:
ΔH_f (0 K)   -0.11 eV/atom
Distance to the lowest polymorph of the same formula   0.0 meV/atom
Size of the total moment   1.9 Bohr magnetons per cell
Space group   P4/mbm, No. 127

=====

Entry 4:
# KPt

A relaxed structure of KPt (PBE-GGA, Alexandria).

Geometry as POSCAR:
```
KPt
1.0
-2.3607 2.7961 4.5116
2.3607 -2.7961 4.5116
2.3607 2.7961 -4.5116
K Pt
2 2
direct
0.3477 0.0977 0.2500 K
0.6523 0.9023 0.7500 K
0.0412 0.2912 0.7500 Pt
0.9588 0.7088 0.2500 Pt
```

Summary:
ΔH_f (0 K)   -0.02 eV/atom
Size of the total moment   0.0 Bohr magnetons per cell
Space group   Imma, No. 74

=====

Entry 5:
# TaV3Rh

A relaxed structure of TaV3Rh (PBE-GGA, Alexandria).

Geometry as POSCAR:
```
TaV3Rh
1.0
4.5352 0.0000 0.0000
0.0000 4.5352 0.0000
0.0000 0.0000 4.5352
Ta V Rh
1 3 1
direct
0.0000 0.0000 0.0000 Ta
0.0000 0.0000 0.5000 V
0.0000 0.5000 0.0000 V
0.5000 0.0000 0.0000 V
0.5000 0.5000 0.5000 Rh
```

Summary:
ΔH_f (0 K)   1.58 eV/atom
Distance to the lowest polymorph of the same formula   464.1 meV/atom
Size of the total moment   1.9 Bohr magnetons per cell
Space group   Pm-3m, No. 221

=====

Entry 6:
# DyHoTm2In

A relaxed structure of DyHoTm2In (PBE-GGA, Alexandria).

Geometry as POSCAR:
```
DyHoTm2In
1.0
1.7341 -10.1445 0.0000
1.7341 10.1445 0.0000
0.0000 0.0000 9.1709
Dy Ho Tm In
2 2 4 2
direct
0.1054 0.8946 0.7500 Dy
0.8946 0.1054 0.2500 Dy
0.5000 0.5000 0.0000 Ho
0.5000 0.5000 0.5000 Ho
0.3323 0.6677 0.5525 Tm
0.3323 0.6677 0.9475 Tm
0.6677 0.3323 0.0525 Tm
0.6677 0.3323 0.4475 Tm
0.2617 0.7383 0.2500 In
0.7383 0.2617 0.7500 In
```

Summary:
ΔH_f (0 K)   0.09 eV/atom
Size of the total moment   0.0 Bohr magnetons per cell
Space group   Cmcm, No. 63

=====

Entry 7:
# MnCu2Sb

A relaxed structure of MnCu2Sb (PBE-GGA, Alexandria).

Geometry as POSCAR:
```
MnCu2Sb
1.0
1.5707 0.9068 7.8585
-1.5707 0.9068 7.8585
0.0000 -1.8136 7.8585
Mn Cu Sb
1 2 1
direct
0.0000 0.0000 0.0000 Mn
0.2591 0.2591 0.2591 Cu
0.5187 0.5187 0.5187 Cu
0.7609 0.7609 0.7609 Sb
```

Summary:
Size of the total moment   3.7 Bohr magnetons per cell
Formation energy from raw total energies   0.391 eV/atom
Space group   R3m, No. 160

=====

Entry 8:
# Tm6Sb2PbSe3

A relaxed structure of Tm6Sb2PbSe3 (PBE-GGA, Alexandria).

Geometry as POSCAR:
```
Tm6Sb2PbSe3
1.0
9.1351 -2.1048 0.0000
9.1351 2.1048 0.0000
-1.8542 0.0000 8.1739
Tm Sb Pb Se
6 2 1 3
direct
0.0027 0.0027 0.2450 Tm
0.3317 0.3317 0.4233 Tm
0.3351 0.3351 0.9112 Tm
0.6649 0.6649 0.0888 Tm
0.6683 0.6683 0.5767 Tm
0.9973 0.9973 0.7550 Tm
0.1667 0.1667 0.8335 Sb
0.8333 0.8333 0.1665 Sb
0.5000 0.5000 0.5000 Pb
0.1678 0.1678 0.3325 Se
0.5000 0.5000 0.0000 Se
0.8322 0.8322 0.6675 Se
```

Summary:
Size of the total moment   0.0 Bohr magnetons per cell
Formation energy from raw total energies   -1.258 eV/atom
Space group   C2/m, No. 12

=====

Entry 9:
# LiNdPd

A relaxed structure of LiNdPd (PBE-GGA, Alexandria).

Geometry as POSCAR:
```
LiNdPd
1.0
7.3470 0.0000 0.0000
-3.6735 6.3627 0.0000
0.0000 0.0000 4.1884
Li Nd Pd
3 3 3
direct
0.0000 0.7690 0.0000 Li
0.2310 0.2310 0.0000 Li
0.7690 0.0000 0.0000 Li
0.0000 0.4119 0.5000 Nd
0.4119 0.0000 0.5000 Nd
0.5881 0.5881 0.5000 Nd
0.0000 0.0000 0.5000 Pd
0.3333 0.6667 0.0000 Pd
0.6667 0.3333 0.0000 Pd
```

Summary:
ΔH_f (0 K)   -0.55 eV/atom
Distance to the lowest polymorph of the same formula   0.0 meV/atom
Size of the total moment   0.0 Bohr magnetons per cell
Space group   P-62m, No. 189

=====

Entry 10:
# Sc5Se3

A relaxed structure of Sc5Se3 (PBE-GGA, Alexandria).

Geometry as POSCAR:
```
Sc5Se3
1.0
8.0490 0.0000 0.0000
-4.0245 6.9706 0.0000
0.0000 0.0000 5.5180
Sc Se
10 6
direct
0.0000 0.2572 0.2500 Sc
0.0000 0.7428 0.7500 Sc
0.2572 0.0000 0.2500 Sc
0.2572 0.2572 0.7500 Sc
0.3333 0.6667 0.0000 Sc
0.3333 0.6667 0.5000 Sc
0.6667 0.3333 0.0000 Sc
0.6667 0.3333 0.5000 Sc
0.7428 0.0000 0.7500 Sc
0.7428 0.7428 0.2500 Sc
0.0000 0.3812 0.7500 Se
0.0000 0.6188 0.2500 Se
0.3812 0.0000 0.7500 Se
0.3812 0.3812 0.2500 Se
0.6188 0.0000 0.2500 Se
0.6188 0.6188 0.7500 Se
```

Summary:
Distance to the lowest polymorph of the same formula   52.2 meV/atom
Size of the total moment   0.0 Bohr magnetons per cell
Formation energy from raw total energies   -1.074 eV/atom
Space group   P6_3/mcm, No. 193

=====

Entry 11:
# Pr2GeAs3Pt4

A relaxed structure of Pr2GeAs3Pt4 (PBE-GGA, Alexandria).

Geometry as POSCAR:
```
Pr2GeAs3Pt4
1.0
4.4141 0.0000 0.0000
0.0000 4.4141 0.0000
0.0000 0.0000 10.1803
Pr Ge As Pt
2 1 3 4
direct
0.0000 0.5000 0.2462 Pr
0.5000 0.0000 0.7538 Pr
0.0000 0.0000 0.5000 Ge
0.0000 0.5000 0.8668 As
0.5000 0.0000 0.1332 As
0.5000 0.5000 0.5000 As
0.0000 0.0000 0.0000 Pt
0.0000 0.5000 0.6239 Pt
0.5000 0.0000 0.3761 Pt
0.5000 0.5000 0.0000 Pt
```

Summary:
ΔH_f (0 K)   -0.89 eV/atom
Size of the total moment   0.0 Bohr magnetons per cell
Space group   P-4m2, No. 115

=====

Entry 12:
# LaTlPb

A relaxed structure of LaTlPb (PBE-GGA, Alexandria).

Geometry as POSCAR:
```
LaTlPb
1.0
0.0000 3.7430 3.7430
3.7430 0.0000 3.7430
3.7430 3.7430 0.0000
La Tl Pb
1 1 1
direct
0.0000 0.0000 0.0000 La
0.7500 0.7500 0.7500 Tl
0.5000 0.5000 0.5000 Pb
```

Summary:
ΔH_f (0 K)   -0.20 eV/atom
Distance to the lowest polymorph of the same formula   212.9 meV/atom
Size of the total moment   0.0 Bohr magnetons per cell
Space group   F-43m, No. 216

=====

Entry 13:
# HfNbP2Rh

A relaxed structure of HfNbP2Rh (PBE-GGA, Alexandria).

Geometry as POSCAR:
```
HfNbP2Rh
1.0
4.8192 0.0000 0.0000
0.0000 4.8192 0.0000
0.0000 0.0000 4.6534
Hf Nb P Rh
1 1 2 1
direct
0.0000 0.0000 0.0000 Hf
0.5000 0.5000 0.5000 Nb
0.0000 0.5000 0.0000 P
0.5000 0.0000 0.0000 P
0.0000 0.0000 0.5000 Rh
```

Summary:
ΔH_f (0 K)   0.85 eV/atom
Size of the total moment   0.0 Bohr magnetons per cell
Space group   P4/mmm, No. 123

=====

Entry 14:
# Li2AgPd3

A relaxed structure of Li2AgPd3 (PBE-GGA, Alexandria).

Geometry as POSCAR:
```
Li2AgPd3
1.0
2.7830 -3.8655 0.0000
2.7830 3.8655 0.0000
-2.7141 0.0000 8.4315
Li Ag Pd
4 2 6
direct
0.0459 0.2963 0.0911 Li
0.2963 0.0459 0.5911 Li
0.7037 0.9541 0.4089 Li
0.9541 0.7037 0.9089 Li
0.1243 0.8757 0.2500 Ag
0.8757 0.1243 0.7500 Ag
0.2125 0.4621 0.4240 Pd
0.3742 0.6258 0.7500 Pd
0.4621 0.2125 0.9240 Pd
0.5379 0.7875 0.0760 Pd
0.6258 0.3742 0.2500 Pd
0.7875 0.5379 0.5760 Pd
```

Summary:
ΔH_f (0 K)   -0.31 eV/atom
Distance to the lowest polymorph of the same formula   0.0 meV/atom
Size of the total moment   0.0 Bohr magnetons per cell
Space group   C2/c, No. 15

=====

Entry 15:
# InH2

A relaxed structure of InH2 (PBE-GGA, Alexandria).

Geometry as POSCAR:
```
InH2
1.0
3.2620 0.0000 0.0000
-0.0629 5.1152 0.0000
-1.2712 -2.4928 5.9180
In H
2 4
direct
0.0000 0.0000 0.0000 In
0.1049 0.6132 0.2311 In
0.4193 0.9089 0.8121 H
0.5320 0.2464 0.6357 H
0.5562 0.3676 0.5989 H
0.6855 0.7036 0.4193 H
```

Summary:
Size of the total moment   0.0 Bohr magnetons per cell
Space group   P1, No. 1

=====

Entry 16:
# LaTbCeSm3

A relaxed structure of LaTbCeSm3 (PBE-GGA, Alexandria).

Geometry as POSCAR:
```
LaTbCeSm3
1.0
3.0140 -5.5860 0.0000
3.0140 5.5860 0.0000
0.0000 0.0000 12.0202
La Tb Ce Sm
2 2 2 6
direct
0.0000 0.0000 0.0000 La
0.0000 0.0000 0.5000 La
0.1717 0.8283 0.7500 Tb
0.8283 0.1717 0.2500 Tb
0.4969 0.5031 0.2500 Ce
0.5031 0.4969 0.7500 Ce
0.1749 0.8251 0.2500 Sm
0.3323 0.6677 0.5025 Sm
0.3323 0.6677 0.9975 Sm
0.6677 0.3323 0.0025 Sm
0.6677 0.3323 0.4975 Sm
0.8251 0.1749 0.7500 Sm
```

Summary:
ΔH_f (0 K)   0.16 eV/atom
Size of the total moment   3.2 Bohr magnetons per cell
Space group   Cmcm, No. 63

=====

Entry 17:
# Ac3MnB7

A relaxed structure of Ac3MnB7 (PBE-GGA, Alexandria).

Geometry as POSCAR:
```
Ac3MnB7
1.0
1.8065 -8.4098 0.0000
1.8065 8.4098 0.0000
0.0000 0.0000 10.4973
Ac Mn B
6 2 14
direct
0.0954 0.9046 0.5481 Ac
0.0954 0.9046 0.9519 Ac
0.2614 0.7386 0.2500 Ac
0.7386 0.2614 0.7500 Ac
0.9046 0.0954 0.0481 Ac
0.9046 0.0954 0.4519 Ac
0.0723 0.9277 0.2500 Mn
0.9277 0.0723 0.7500 Mn
0.2715 0.7285 0.5324 B
0.2715 0.7285 0.9676 B
0.3533 0.6467 0.6612 B
0.3533 0.6467 0.8388 B
0.4554 0.5446 0.6494 B
0.4554 0.5446 0.8506 B
0.4691 0.5309 0.2500 B
0.5309 0.4691 0.7500 B
0.5446 0.4554 0.1494 B
0.5446 0.4554 0.3506 B
0.6467 0.3533 0.1612 B
0.6467 0.3533 0.3388 B
0.7285 0.2715 0.0324 B
0.7285 0.2715 0.4676 B
```

Summary:
ΔH_f (0 K)   -0.12 eV/atom
Size of the total moment   0.0 Bohr magnetons per cell
Space group   Cmcm, No. 63

=====

Entry 18:
# Pm12Sn5O2

A relaxed structure of Pm12Sn5O2 (PBE-GGA, Alexandria).

Geometry as POSCAR:
```
Pm12Sn5O2
1.0
8.6751 -3.8455 0.0000
8.6751 3.8455 0.0000
-2.6110 0.0000 9.0103
Pm Sn O
12 5 2
direct
0.0007 0.0007 0.3309 Pm
0.0889 0.6105 0.4241 Pm
0.1012 0.6026 0.9277 Pm
0.3895 0.9111 0.5759 Pm
0.3974 0.8988 0.0723 Pm
0.4977 0.4977 0.3120 Pm
0.5023 0.5023 0.6880 Pm
0.6026 0.1012 0.9277 Pm
0.6105 0.0889 0.4241 Pm
0.8988 0.3974 0.0723 Pm
0.9111 0.3895 0.5759 Pm
0.9993 0.9993 0.6691 Pm
0.0000 0.0000 0.0000 Sn
0.3054 0.3054 0.1559 Sn
0.3140 0.3140 0.6536 Sn
0.6860 0.6860 0.3464 Sn
0.6946 0.6946 0.8441 Sn
0.2619 0.7381 0.5000 O
0.7381 0.2619 0.5000 O
```

Summary:
Size of the total moment   0.0 Bohr magnetons per cell
Formation energy from raw total energies   -0.856 eV/atom
Space group   C2/m, No. 12

=====

Entry 19:
# Dy4NiSe3

A relaxed structure of Dy4NiSe3 (PBE-GGA, Alexandria).

Geometry as POSCAR:
```
Dy4NiSe3
1.0
4.1536 -5.7880 0.0000
4.1536 5.7880 0.0000
0.0000 0.0000 3.9545
Dy Ni Se
4 1 3
direct
0.2250 0.2250 0.5000 Dy
0.2418 0.7582 0.0000 Dy
0.7582 0.2418 0.0000 Dy
0.7750 0.7750 0.5000 Dy
0.0000 0.0000 0.0000 Ni
0.0000 0.5000 0.5000 Se
0.5000 0.0000 0.5000 Se
0.5000 0.5000 0.0000 Se
```

Summary:
Size of the total moment   0.0 Bohr magnetons per cell
Formation energy from raw total energies   -1.415 eV/atom
Space group   Cmmm, No. 65

=====

Entry 20:
# MgP

A relaxed structure of MgP (PBE-GGA, Alexandria).

Geometry as POSCAR:
```
MgP
1.0
4.8180 0.0000 0.0000
0.0000 7.2552 0.0000
0.0000 0.0000 9.4893
Mg P
8 8
direct
0.0988 0.1167 0.0161 Mg
0.1662 0.6532 0.7941 Mg
0.3338 0.3468 0.2941 Mg
0.4012 0.8833 0.5161 Mg
0.5988 0.3833 0.9839 Mg
0.6662 0.8468 0.2059 Mg
0.8338 0.1532 0.7059 Mg
0.9012 0.6167 0.4839 Mg
0.1004 0.4784 0.0324 P
0.1726 0.0069 0.2730 P
0.3274 0.9931 0.7730 P
0.3996 0.5216 0.5324 P
0.6004 0.0216 0.9676 P
0.6726 0.4931 0.7270 P
0.8274 0.5069 0.2270 P
0.8996 0.9784 0.4676 P
```

Summary:
ΔH_f (0 K)   -0.40 eV/atom
Distance to the lowest polymorph of the same formula   122.1 meV/atom
Size of the total moment   0.0 Bohr magnetons per cell
Space group   P2_12_12_1, No. 19

=====

no.,E_tot (eV per atom)
1,-2.89
2,-6.05
3,-5.30
4,-3.59
5,-7.74
6,-4.09
7,-4.98
8,-5.36
9,-4.51
10,-6.34
11,-6.12
12,-3.87
13,-6.79
14,-4.02
15,-2.94
16,-4.78
17,-6.33
18,-5.43
19,-5.75
20,-3.90